[1]
Cu3Ag5, optimized geometry, DFT PBE; space-group type = R3m (160); calculated formation energy = 0.08 eV per atom
1.0
7.833 -5.973 15.362
9.290 -3.547 15.302
6.755 -3.644 16.557
Cu Ag
3 5
direct
0.374 0.374 0.374
0.121 0.121 0.121
0.005 0.005 0.005
0.874 0.874 0.874
0.631 0.631 0.631
0.495 0.495 0.495
0.748 0.748 0.748
0.252 0.252 0.252

=====

[2]
CuAg, optimized geometry, DFT PBE; space-group type = Pmmm (47); calculated formation energy = 0.09 eV per atom
1.0
-0.539 1.174 2.472
3.224 -1.458 1.395
6.904 11.485 -3.951
Cu Ag
5 5
direct
0.500 0.500 0.302
0.000 0.000 0.787
0.000 0.000 0.213
0.500 0.500 0.500
0.500 0.500 0.698
0.000 0.000 0.000
0.000 0.000 0.400
0.500 0.500 0.886
0.000 0.000 0.600
0.500 0.500 0.114